Here is a relaxed structure of SmHoTm3 from the Alexandria database. Energies are from GGA-PBE.

Summary:
**Formation energy from the elements**: 0.309 eV per atom
**E_tot**: -4.234 eV/atom
**Theoretical density**: 8.04 Mg/m³

Lattice parameters (Å, degrees): 3.580 8.494 11.424 90.00 90.00 102.12
Fractional coordinates of all 10 atoms:
Sm1 0.988 0.473 0.250
Sm2 0.012 0.527 0.750
Ho1 0.313 0.125 0.250
Ho2 0.687 0.875 0.750
Tm1 0.842 0.184 0.000
Tm2 0.158 0.816 0.000
Tm3 0.842 0.184 0.500
Tm4 0.158 0.816 0.500
Tm5 0.654 0.807 0.250
Tm6 0.346 0.193 0.750

Here is a relaxed structure of NaB3Se from the Alexandria database. Energies are from GGA-PBE.

Summary:
**Formation energy without anion corrections**: 63.45 kcal/mol of atoms
**E_tot**: -2.216 eV/atom
**Theoretical density**: 2.35 Mg/m³

Lattice parameters (Å, degrees): 4.564 4.564 4.564 90.00 90.00 90.00
Fractional coordinates of all 5 atoms:
Na1 0.000 0.000 0.000
B1 0.000 0.500 0.000
B2 0.000 0.000 0.500
B3 0.500 0.000 0.000
Se1 0.500 0.500 0.500

Here is a relaxed structure of Li2VPd4 from the Alexandria database. Energies are from GGA-PBE.

Summary:
**Formation energy from the elements**: -0.264 eV per atom
**E_tot**: -5.080 eV/atom
**Theoretical density**: 8.01 Mg/m³

Lattice parameters (Å, degrees): 7.115 6.465 7.205 134.03 118.05 80.54
Fractional coordinates of all 14 atoms:
Li1 0.782 0.168 0.613
Li2 0.664 0.652 0.001
Li3 0.521 0.185 0.197
Li4 0.253 0.639 0.886
V1 0.954 0.627 0.438
V2 0.079 0.190 0.079
Pd1 0.940 0.178 0.360
Pd2 0.548 0.667 0.312
Pd3 0.833 0.692 0.761
Pd4 0.657 0.174 0.904
Pd5 0.360 0.144 0.445
Pd6 0.199 0.135 0.759
Pd7 0.379 0.659 0.595
Pd8 0.081 0.640 0.150

theoretical density of number 3 (Li2VPd4)? 8.01 Mg/m³